The following is a DFT calculation (PBE+U) of TaNi2RhO6 after structural relaxation.

Computed properties:
electronic total energy = -6.564 eV/atom
magnetization = 4.452 μB per cell

Cell lengths 5.8143, 5.8143, 3.8878 Å; angles 90.00, 90.00, 90.00 degrees
Closest atoms and distances in Å follow each position.
Space group P4mm (No. 99)
Inequivalent atoms, fractional coordinates:
Ta 0.0000 0.0000 0.0000 [1 per cell]  6 O 1.94-2.02
Ni 0.0000 0.5000 0.0035 [2 per cell]  4 O 2.06
Rh 0.5000 0.5000 0.0009 [1 per cell]  6 O 1.94-2.09
O 0.0000 0.0000 0.5008 [1 per cell]  2 Ta 1.94-1.95
O 0.2454 0.2454 0.0014 [4 per cell]  1 Ta 2.02, 2 Ni 2.06, 1 Rh 2.09
O 0.5000 0.5000 0.5009 [1 per cell]  2 Rh 1.94